<A>
DFT (GGA-PBE) results for a relaxed structure of Li2CuO2.

**DOS(E_F)**: 2.9 states/eV per cell

Cell: 5.4380 5.4380 2.9258 Å, 90.00 90.00 90.00°
Space group P4/mbm (No. 127)
Inequivalent atoms, fractional coordinates:
Li  0.1371  0.3629  0.0000 x4
Cu  0.0000  0.0000  0.5000 x2
O  0.1821  0.6821  0.5000 x4

***

<B>
DFT (GGA-PBE) results for a relaxed structure of Li2CuO2.

**DOS(E_F)**: 9.3 states/eV per cell

Cell: 5.3018 5.3018 6.9242 Å, 90.00 90.00 90.00°
Space group I-42d (No. 122)
Inequivalent atoms, fractional coordinates:
Li  0.0950  0.2500  0.1250 x8
Cu  0.0000  0.0000  0.5000 x4
O  0.2333  0.7500  0.6250 x8

***

Most stable to least stable, the ends of the list are <B> and <A>.

***

<A>
DFT (GGA-PBE) results for a relaxed structure of Li3CuO.

**DOS(E_F)**: 0.0 states/eV per cell

Cell: 3.8999 3.8999 3.8999 Å, 90.00 90.00 90.00°
Space group Pm-3m (No. 221)
Inequivalent atoms, fractional coordinates:
Li  0.0000  0.0000  0.5000 x3
Cu  0.5000  0.5000  0.5000 x1
O  0.0000  0.0000  0.0000 x1

***

<B>
DFT (GGA-PBE) results for a relaxed structure of Li3CuO.

**DOS(E_F)**: 0.0 states/eV per cell

Cell: 4.3837 4.3837 4.3837 Å, 90.00 90.00 90.00°
Space group Pm-3m (No. 221)
Inequivalent atoms, fractional coordinates:
Li  0.0000  0.0000  0.5000 x3
Cu  0.0000  0.0000  0.0000 x1
O  0.5000  0.5000  0.5000 x1

***

Most stable to least stable, the ends of the list are <A> and <B>.

***

<A>
DFT (GGA-PBE) results for a relaxed structure of Li5CuP2O8.

**DOS(E_F)**: 0.0 states/eV per cell

Cell: 4.9966 6.2146 5.3049 Å, 90.00 90.33 90.00°
Space group Pm (No. 6)
Inequivalent atoms, fractional coordinates:
Li  0.0000  0.0000  0.0000 x1
Li  0.9998  0.2546  0.5174 x2
Li  0.5031  0.2507  0.1665 x2
Cu  0.4981  0.5000  0.6493 x1
P  0.0059  0.5000  0.0243 x1
P  0.5079  0.0000  0.6693 x1
O  0.3168  0.5000  0.0392 x1
O  0.3970  0.2011  0.5244 x2
O  0.4062  0.0000  0.9457 x1
O  0.8186  0.0000  0.6621 x1
O  0.8986  0.2929  0.1567 x2
O  0.9171  0.5000  0.7411 x1

***

<B>
DFT (GGA-PBE) results for a relaxed structure of Li5CuP2O8.

**DOS(E_F)**: 0.0 states/eV per cell

Cell: 6.1776 5.0648 10.7702 Å, 90.00 90.60 90.00°
Space group Pc (No. 7)
Inequivalent atoms, fractional coordinates:
Li  0.0000  0.0443  0.0000 x2
Li  0.2473  0.0454  0.7624 x2
Li  0.4995  0.4471  0.8508 x2
Li  0.7464  0.4423  0.0899 x2
Li  0.7509  0.0506  0.7614 x2
Cu  0.2580  0.4519  0.1005 x2
P  0.5038  0.0570  0.5123 x2
P  0.9924  0.4483  0.3375 x2
O  0.2030  0.4423  0.7758 x2
O  0.2944  0.0303  0.0825 x2
O  0.5017  0.0514  0.8774 x2
O  0.5098  0.3655  0.5076 x2
O  0.7071  0.0441  0.0846 x2
O  0.7898  0.4519  0.7642 x2
O  0.9861  0.4427  0.9722 x2
O  0.9982  0.1405  0.3372 x2

***

Most stable to least stable, the ends of the list are <A> and <B>.

***

<A>
DFT (GGA-PBE) results for a relaxed structure of Li3Cu3P2O8.

Cell: 5.0973 5.5224 6.1320 Å, 89.30 89.00 87.21°
Space group P1 (No. 1)
Inequivalent atoms, fractional coordinates:
Li  0.0000  0.0000  0.0000 x1
Li  0.0204  0.5190  0.2486 x1
Li  0.5154  0.6957  0.4991 x1
Cu  0.0558  0.4950  0.7491 x1
Cu  0.4745  0.2329  0.7305 x1
Cu  0.4774  0.2209  0.2597 x1
P  0.5197  0.6859  0.0016 x1
P  0.9970  0.0080  0.4930 x1
O  0.0870  0.1564  0.2882 x1
O  0.0890  0.1286  0.7072 x1
O  0.1199  0.7450  0.4838 x1
O  0.2133  0.6864  0.0045 x1
O  0.6167  0.9471  0.0000 x1
O  0.6294  0.5479  0.2091 x1
O  0.6313  0.5515  0.7914 x1
O  0.6926  0.0048  0.4985 x1

***

<B>
DFT (GGA-PBE) results for a relaxed structure of Li3Cu3P2O8.

Cell: 5.1326 5.3633 6.2658 Å, 88.09 89.03 89.94°
Space group P1 (No. 1)
Inequivalent atoms, fractional coordinates:
Li  0.0000  0.0000  0.0000 x1
Li  0.0113  0.0004  0.5018 x1
Li  0.4966  0.6425  0.9956 x1
Cu  0.0308  0.5411  0.7430 x1
Cu  0.4829  0.6745  0.4823 x1
Cu  0.5153  0.0925  0.2586 x1
P  0.5000  0.1496  0.7577 x1
P  0.9878  0.4887  0.2395 x1
O  0.0818  0.6345  0.4382 x1
O  0.0892  0.2164  0.2454 x1
O  0.1009  0.6367  0.0385 x1
O  0.1996  0.1278  0.7490 x1
O  0.5906  0.4250  0.7594 x1
O  0.6052  0.0013  0.9589 x1
O  0.6292  0.0222  0.5590 x1
O  0.6855  0.4930  0.2377 x1

***

Most stable to least stable, the ends of the list are <B> and <A>.

***

<A>
DFT (GGA-PBE) results for a relaxed structure of LiCuP4O12.

**DOS(E_F)**: 16.7 states/eV per cell

Cell: 9.0952 9.4293 10.5233 Å, 90.00 90.00 90.00°
Space group P2_12_12_1 (No. 19)
Inequivalent atoms, fractional coordinates:
Li  0.1489  0.2443  0.3141 x4
Cu  0.0042  0.7376  0.7844 x4
P  0.0013  0.0139  0.9862 x4
P  0.0019  0.9447  0.3938 x4
P  0.1954  0.9616  0.6158 x4
P  0.2042  0.4694  0.8876 x4
O  0.0018  0.1238  0.8843 x4
O  0.0051  0.3579  0.5467 x4
O  0.0072  0.3412  0.2122 x4
O  0.0271  0.0976  0.3682 x4
O  0.1235  0.5491  0.4084 x4
O  0.1252  0.8873  0.4936 x4
O  0.1350  0.0414  0.0835 x4
O  0.1458  0.1126  0.6327 x4
O  0.1479  0.4236  0.0247 x4
O  0.1529  0.3707  0.7854 x4
O  0.1767  0.8596  0.7270 x4
O  0.1778  0.6273  0.8634 x4

***

<B>
DFT (GGA-PBE) results for a relaxed structure of LiCuP4O12.

Cell: 5.6016 6.7605 7.3123 Å, 109.25 92.80 104.82°
Space group P1 (No. 1)
Inequivalent atoms, fractional coordinates:
Li  0.0000  0.0000  0.0000 x1
Cu  0.5633  0.6705  0.5179 x1
P  0.2670  0.8955  0.3323 x1
P  0.4548  0.1089  0.7453 x1
P  0.6933  0.2369  0.2919 x1
P  0.8795  0.4576  0.7087 x1
O  0.0348  0.8669  0.2086 x1
O  0.1245  0.5149  0.8263 x1
O  0.2876  0.0784  0.5457 x1
O  0.2975  0.0993  0.8991 x1
O  0.2988  0.6879  0.3621 x1
O  0.5115  0.9944  0.2490 x1
O  0.5291  0.3934  0.3369 x1
O  0.6228  0.9546  0.6902 x1
O  0.6457  0.3483  0.7995 x1
O  0.8216  0.6608  0.6834 x1
O  0.8465  0.2258  0.1326 x1
O  0.8618  0.2797  0.4951 x1

***

Most stable to least stable, the ends of the list are <B> and <A>.

***

<A>
DFT (GGA-PBE) results for a relaxed structure of LiCu5P2O8.

Cell: 5.1124 5.4860 6.4466 Å, 87.71 86.09 89.28°
Space group P1 (No. 1)
Inequivalent atoms, fractional coordinates:
Li  0.0000  0.0000  0.0000 x1
Cu  0.0266  0.5374  0.7590 x1
Cu  0.0643  0.9328  0.5483 x1
Cu  0.4431  0.1099  0.3103 x1
Cu  0.4802  0.6867  0.5099 x1
Cu  0.5111  0.7315  0.0869 x1
P  0.5188  0.1680  0.7534 x1
P  0.9772  0.4746  0.2371 x1
O  0.0615  0.5892  0.4393 x1
O  0.0859  0.6413  0.0467 x1
O  0.0899  0.2125  0.2199 x1
O  0.2122  0.1500  0.7551 x1
O  0.6044  0.4373  0.7405 x1
O  0.6210  0.0389  0.9520 x1
O  0.6495  0.0295  0.5601 x1
O  0.6709  0.4626  0.2438 x1

***

<B>
DFT (GGA-PBE) results for a relaxed structure of LiCu5P2O8.

**DOS(E_F)**: 4.1 states/eV per cell

Cell: 5.6528 6.2551 10.4846 Å, 90.00 92.59 90.00°
Space group Pm (No. 6)
Inequivalent atoms, fractional coordinates:
Li  0.0000  0.0000  0.0000 x1
Li  0.2716  0.5000  0.2699 x1
Cu  0.3921  0.5000  0.7379 x1
Cu  0.4911  0.2954  0.9561 x2
Cu  0.5062  0.2207  0.5507 x2
Cu  0.7668  0.1952  0.2336 x2
Cu  0.7666  0.2943  0.7610 x2
Cu  0.8692  0.0000  0.4603 x1
P  0.2112  0.0000  0.7629 x1
P  0.2925  0.0000  0.2695 x1
P  0.9388  0.5000  0.5047 x1
P  0.9620  0.5000  0.0312 x1
O  0.0439  0.0000  0.1918 x1
O  0.1807  0.5000  0.4485 x1
O  0.2273  0.5000  0.0010 x1
O  0.2546  0.0000  0.4150 x1
O  0.2935  0.2002  0.6899 x2
O  0.3125  0.0000  0.9047 x1
O  0.4199  0.2087  0.2277 x2
O  0.7835  0.3014  0.4564 x2
O  0.8444  0.2924  0.9711 x2
O  0.9314  0.5000  0.1775 x1
O  0.9363  0.0000  0.7651 x1
O  0.9520  0.5000  0.6532 x1

***

Most stable to least stable, the ends of the list are <B> and <A>.

***

<A>
DFT (GGA-PBE) results for a relaxed structure of LiCuP2O.

**DOS(E_F)**: 3.5 states/eV per cell

Cell: 4.7277 4.7277 3.5782 Å, 90.00 90.00 90.00°
Space group P4/mmm (No. 123)
Inequivalent atoms, fractional coordinates:
Li  0.0000  0.0000  0.0000 x1
Cu  0.5000  0.5000  0.5000 x1
P  0.0000  0.5000  0.5000 x2
O  0.5000  0.5000  0.0000 x1

***

<B>
DFT (GGA-PBE) results for a relaxed structure of LiCuP2O.

**DOS(E_F)**: 5.0 states/eV per cell

Cell: 4.5834 4.5834 3.2115 Å, 90.00 90.00 90.00°
Space group P4/mmm (No. 123)
Inequivalent atoms, fractional coordinates:
Li  0.0000  0.0000  0.0000 x1
Cu  0.5000  0.5000  0.5000 x1
P  0.0000  0.5000  0.0000 x2
O  0.0000  0.0000  0.5000 x1

***

Most stable to least stable, the ends of the list are <A> and <B>.

***

<A>
DFT (GGA-PBE) results for a relaxed structure of Li4CuSi2O7.

Cell: 9.6162 4.5168 6.7822 Å, 90.00 99.98 90.00°
Space group C2 (No. 5)
Inequivalent atoms, fractional coordinates:
Li  0.1463  0.0000  0.4354 x4
Li  0.2111  0.5044  0.1441 x4
Cu  0.0000  0.0115  0.0000 x2
Si  0.0756  0.5236  0.7103 x4
O  0.0000  0.3325  0.5000 x2
O  0.0496  0.7319  0.2250 x4
O  0.1292  0.2798  0.8866 x4
O  0.2051  0.7181  0.6559 x4

***

<B>
DFT (GGA-PBE) results for a relaxed structure of Li4CuSi2O7.

**DOS(E_F)**: 20.8 states/eV per cell

Cell: 13.2026 5.4563 8.1128 Å, 90.00 94.11 90.00°
Space group Cc (No. 9)
Inequivalent atoms, fractional coordinates:
Li  0.0000  0.1452  0.0000 x4
Li  0.0698  0.3297  0.3525 x4
Li  0.2040  0.3393  0.0686 x4
Li  0.2777  0.1814  0.4235 x4
Cu  0.4265  0.1633  0.1525 x4
Si  0.1406  0.1705  0.7060 x4
Si  0.3541  0.3252  0.7769 x4
O  0.0515  0.3116  0.8048 x4
O  0.1148  0.1167  0.1742 x4
O  0.1685  0.3176  0.5414 x4
O  0.2484  0.1878  0.8412 x4
O  0.3268  0.3851  0.2385 x4
O  0.3896  0.1842  0.6107 x4
O  0.4416  0.3051  0.9286 x4

***

Most stable to least stable, the ends of the list are <A> and <B>.